## Nd4Tm2N (GGA-PBE)

Data for a relaxed Nd4Tm2N crystal.

a = 5.0127 Å, b = 5.0127 Å, c = 9.4523 Å
α = 74.62°, β = 74.62°, γ = 90.00°
Last column: nearest neighbours and their distance in Å.
Fractional positions:
Nd  0.8632  0.8632  0.2736  1 N 2.40
Nd  0.1368  0.1368  0.7264  1 N 2.40
Tm  0.6613  0.6613  0.6774  9 Nd 3.54-3.78
Nd  0.5000  0.0000  0.0000  2 N 2.51
Tm  0.3387  0.3387  0.3226  9 Nd 3.54-3.78
Nd  0.0000  0.5000  0.0000  2 N 2.51
N  0.0000  0.0000  0.0000  6 Nd 2.40-2.51

Output
Energy relative to the elements, uncorrected = -16 kJ per mole of atoms
V = 31.45 A^3/atom
D(E_F) = 9.49 states/eV per cell



## NdTm3N4 (GGA-PBE)

Data for a relaxed NdTm3N4 crystal.

a = 6.0050 Å, b = 6.0073 Å, c = 6.9461 Å
α = 90.00°, β = 90.00°, γ = 109.47°
Last column: nearest neighbours and their distance in Å.
Fractional positions:
N  0.9925  0.7468  0.3800  5 Tm 2.40-2.47, 1 Nd 2.49
Tm  0.2500  0.0000  0.6227  6 N 2.43-2.44
N  0.5075  0.2532  0.3800  5 Tm 2.40-2.47, 1 Nd 2.49
N  0.9974  0.2618  0.1341  4 Tm 2.38-2.50, 2 Nd 2.52-2.53
Tm  0.2500  0.5000  0.8699  6 N 2.38-2.50
Tm  0.7500  0.5000  0.1301  6 N 2.38-2.50
Nd  0.7500  0.0000  0.8728  6 N 2.49-2.53
N  0.4974  0.2618  0.8659  4 Tm 2.38-2.50, 2 Nd 2.52-2.53
Tm  0.7500  0.0000  0.3773  6 N 2.43-2.44
Tm  0.2500  0.5000  0.3766  6 N 2.40-2.47
N  0.5026  0.7382  0.1341  4 Tm 2.38-2.50, 2 Nd 2.52-2.53
N  0.0075  0.2532  0.6200  5 Tm 2.40-2.47, 1 Nd 2.49
N  0.0026  0.7382  0.8659  4 Tm 2.38-2.50, 2 Nd 2.52-2.53
N  0.4925  0.7468  0.6200  5 Tm 2.40-2.47, 1 Nd 2.49
Tm  0.7500  0.5000  0.6234  6 N 2.40-2.47
Nd  0.2500  0.0000  0.1272  6 N 2.49-2.53

Output
Energy relative to the elements, uncorrected = -161 kJ per mole of atoms
V = 14.76 A^3/atom
D(E_F) = 0.60 states/eV per cell



## Nd3TmN4 (GGA-PBE)

Data for a relaxed Nd3TmN4 crystal.

a = 6.2214 Å, b = 6.2241 Å, c = 7.1940 Å
α = 90.00°, β = 90.00°, γ = 109.46°
Last column: nearest neighbours and their distance in Å.
Fractional positions:
Tm  0.7500  0.0000  0.8756  6 N 2.46-2.50
Nd  0.2500  0.0000  0.6288  6 N 2.52-2.59
N  0.0077  0.7544  0.3643  1 Tm 2.46, 5 Nd 2.52-2.65
Nd  0.7500  0.5000  0.6293  6 N 2.52-2.65
Nd  0.7500  0.5000  0.1237  6 N 2.53-2.61
N  0.0025  0.2388  0.1223  2 Tm 2.47-2.50, 4 Nd 2.52-2.61
N  0.4975  0.7612  0.1223  2 Tm 2.47-2.50, 4 Nd 2.52-2.61
Nd  0.7500  0.0000  0.3712  6 N 2.52-2.59
Nd  0.2500  0.5000  0.3707  6 N 2.52-2.65
N  0.9923  0.2456  0.6357  1 Tm 2.46, 5 Nd 2.52-2.65
N  0.5025  0.2388  0.8777  2 Tm 2.47-2.50, 4 Nd 2.52-2.61
Nd  0.2500  0.5000  0.8763  6 N 2.53-2.61
N  0.4923  0.2456  0.3643  1 Tm 2.46, 5 Nd 2.52-2.65
Tm  0.2500  0.0000  0.1244  6 N 2.46-2.50
N  0.5077  0.7544  0.6357  1 Tm 2.46, 5 Nd 2.52-2.65
N  0.9975  0.7612  0.8777  2 Tm 2.47-2.50, 4 Nd 2.52-2.61

Output
Energy relative to the elements, uncorrected = -139 kJ per mole of atoms
V = 16.42 A^3/atom
D(E_F) = 1.45 states/eV per cell



## Nd2TmN3 (GGA-PBE)

Data for a relaxed Nd2TmN3 crystal.

a = 8.0051 Å, b = 8.0051 Å, c = 8.0051 Å
α = 154.15°, β = 154.15°, γ = 36.88°
Last column: nearest neighbours and their distance in Å.
Fractional positions:
N  0.1584  0.1584  0.0000  1 Tm 2.41, 4 Nd 2.53
Nd  0.6625  0.6625  0.0000  6 N 2.47-2.72
N  0.8416  0.8416  0.0000  1 Tm 2.41, 4 Nd 2.53
Nd  0.3375  0.3375  0.0000  6 N 2.47-2.72
Tm  0.0000  0.0000  0.0000  6 N 2.41-2.53
N  0.5000  0.5000  0.0000  2 Nd 2.47, 4 Tm 2.53

Output
Energy relative to the elements, uncorrected = -141 kJ per mole of atoms
V = 16.23 A^3/atom
D(E_F) = 0.36 states/eV per cell



## NdTmN (GGA-PBE)

Data for a relaxed NdTmN crystal.

a = 4.3079 Å, b = 4.3079 Å, c = 4.3079 Å
α = 60.00°, β = 60.00°, γ = 60.00°
Last column: nearest neighbours and their distance in Å.
Fractional positions:
Tm  0.5000  0.5000  0.5000  4 N 2.64
Nd  0.0000  0.0000  0.0000  4 N 2.64
N  0.2500  0.2500  0.2500  4 Nd 2.64, 4 Tm 2.64

Output
Energy relative to the elements, uncorrected = -25 kJ per mole of atoms
Offset from the most stable computed form = 709 meV per atom
V = 18.84 A^3/atom
D(E_F) = 1.40 states/eV per cell



## Nd3TmN (GGA-PBE)

Data for a relaxed Nd3TmN crystal.

a = 5.1339 Å, b = 5.1339 Å, c = 5.1339 Å
α = 90.00°, β = 90.00°, γ = 90.00°
Last column: nearest neighbours and their distance in Å.
Fractional positions:
Tm  0.5000  0.5000  0.5000  12 Nd 3.63
Nd  0.5000  0.0000  0.0000  2 N 2.57
N  0.0000  0.0000  0.0000  6 Nd 2.57
Nd  0.0000  0.5000  0.0000  2 N 2.57
Nd  0.0000  0.0000  0.5000  2 N 2.57

Output
Energy relative to the elements, uncorrected = -44 kJ per mole of atoms
V = 27.06 A^3/atom
D(E_F) = 5.31 states/eV per cell



## NdTmN (GGA-PBE)

Data for a relaxed NdTmN crystal.

a = 3.2738 Å, b = 3.2738 Å, c = 7.2471 Å
α = 103.05°, β = 103.05°, γ = 90.00°
Last column: nearest neighbours and their distance in Å.
Fractional positions:
Tm  0.0287  0.0287  0.0573  4 N 2.36
Nd  0.3251  0.3251  0.6501  1 N 2.35
N  0.4963  0.4963  0.9926  1 Nd 2.35, 4 Tm 2.36

Output
Energy relative to the elements, uncorrected = -72 kJ per mole of atoms
Offset from the most stable computed form = 226 meV per atom
V = 24.53 A^3/atom
D(E_F) = 2.26 states/eV per cell



## NdTmN2 (GGA-PBE)

Data for a relaxed NdTmN2 crystal.

a = 3.4700 Å, b = 3.4700 Å, c = 6.3585 Å
α = 74.17°, β = 74.17°, γ = 60.00°
Last column: nearest neighbours and their distance in Å.
Fractional positions:
N  0.2432  0.2432  0.2705  3 Tm 2.42, 3 Nd 2.64
Tm  0.5014  0.5014  0.4959  6 N 2.42-2.52
Nd  0.6719  0.6719  0.9843  6 N 2.45-2.64
N  0.0836  0.0836  0.7493  3 Nd 2.45, 3 Tm 2.52

Output
Energy relative to the elements, uncorrected = -124 kJ per mole of atoms
V = 15.73 A^3/atom